# 1
Entry from Alexandria via LeMat-Bulk: a PBEsol-optimized structure of Li4Nb3Cr2Fe3O16 (meta-GGA SCAN).

Calculated values
- Raw total energy: -12.97 eV per atom
- Formation energy from raw total energies: -2.26 eV/atom
- Total moment: 7.603 μB/f.u.

abc: 5.7070 5.7070 9.5610
angles: 90.47 90.47 60.64
With the nearest neighbours (Å) after each atom.
Positions (direct):
Li1 0.0000 0.0000 0.0000  3 O 1.84-1.97
Li2 0.2265 0.2265 0.0892  4 O 1.80-1.94
Li3 0.5443 0.5443 0.5666  4 O 1.85-1.90
Li4 0.8966 0.8966 0.4625  4 O 1.80-1.99
Nb1 0.0454 0.5369 0.7545  6 O 2.02-2.06
Nb2 0.5369 0.0454 0.7545  6 O 2.02-2.06
Nb3 0.7014 0.7014 0.2458  6 O 1.99-2.06
Cr1 0.2180 0.2180 0.4676  6 O 1.97-2.03
Cr2 0.5413 0.5413 0.9790  6 O 1.92-1.99
Fe1 0.0712 0.0712 0.7466  6 O 1.93-2.02
Fe2 0.2352 0.7117 0.2499  6 O 1.91-1.98
Fe3 0.7117 0.2352 0.2499  6 O 1.91-1.98
O1 0.0504 0.0504 0.3501  1 Li 1.87, 2 Fe 1.94, 1 Cr 1.99
O2 0.0539 0.5512 0.3577  1 Cr 1.97, 1 Fe 1.98, 1 Li 1.99, 1 Nb 2.05
O3 0.2139 0.2139 0.8870  1 Fe 1.93, 1 Li 1.94, 2 Nb 2.05
O4 0.2156 0.7281 0.8586  1 Li 1.97, 1 Cr 1.99, 1 Fe 2.02, 1 Nb 2.03
O5 0.3609 0.9179 0.6106  1 Li 1.90, 1 Fe 1.95, 1 Nb 2.03, 1 Cr 2.03
O6 0.3634 0.3634 0.6169  1 Li 1.85, 1 Cr 2.01, 2 Nb 2.06
O7 0.3815 0.8520 0.1113  1 Li 1.88, 1 Fe 1.95, 1 Cr 1.99, 1 Nb 2.04
O8 0.4056 0.4056 0.1301  1 Li 1.80, 2 Fe 1.91, 1 Cr 1.98
O9 0.5420 0.5420 0.3724  1 Li 1.86, 2 Fe 1.92, 1 Nb 1.99
O10 0.5512 0.0539 0.3577  1 Cr 1.97, 1 Fe 1.98, 1 Li 1.99, 1 Nb 2.05
O11 0.7004 0.7004 0.8641  1 Cr 1.92, 2 Nb 2.02
O12 0.7281 0.2156 0.8586  1 Li 1.97, 1 Cr 1.99, 1 Fe 2.02, 1 Nb 2.03
O13 0.8520 0.3815 0.1113  1 Li 1.88, 1 Fe 1.95, 1 Cr 1.99, 1 Nb 2.04
O14 0.8900 0.8900 0.1543  1 Li 1.84, 2 Fe 1.94
O15 0.8975 0.8975 0.6504  1 Li 1.80, 1 Fe 1.94
O16 0.9179 0.3609 0.6106  1 Li 1.90, 1 Fe 1.95, 1 Nb 2.03, 1 Cr 2.03

# 2
Entry from Alexandria via LeMat-Bulk: a PBEsol-optimized structure of KIF2 (meta-GGA SCAN).

Calculated values
- Raw total energy: -14.99 eV per atom
- Offset from the most stable computed form: 0 meV per atom
- Formation energy from raw total energies: -1.96 eV/atom
- Total moment: 0.000 μB/f.u.

abc: 6.7207 6.7207 6.7207
angles: 37.68 37.68 37.68
With the nearest neighbours (Å) after each atom.
Positions (direct):
K1 0.0000 0.0000 0.0000  6 F 2.70
I1 0.5000 0.5000 0.5000  2 F 2.11
F1 0.3870 0.3870 0.3870  1 I 2.11
F2 0.6130 0.6130 0.6130  1 I 2.11

# 3
Entry from Alexandria via LeMat-Bulk: a PBEsol-optimized structure of Al2SbRh (meta-GGA SCAN).

Calculated values
- Raw total energy: -21.81 eV per atom
- Formation energy from raw total energies: -0.18 eV/atom
- Total moment: 0.000 μB/f.u.

abc: 4.7993 4.7993 3.1074
angles: 90.00 90.00 111.02
With the nearest neighbours (Å) after each atom.
Positions (direct):
Al1 0.0000 0.5000 0.0000  2 Al 2.72, 4 Rh 2.86, 4 Sb 2.86
Al2 0.5000 0.0000 0.0000  2 Al 2.72, 4 Rh 2.86, 4 Sb 2.86
Sb1 0.0000 0.0000 0.5000  2 Rh 2.72, 8 Al 2.86
Rh1 0.5000 0.5000 0.5000  2 Sb 2.72, 8 Al 2.86

# 4
Entry from Alexandria via LeMat-Bulk: a PBEsol-optimized structure of KIn2Te (meta-GGA SCAN).

Calculated values
- Raw total energy: -28.38 eV per atom
- Formation energy from raw total energies: -0.29 eV/atom
- Total moment: 0.000 μB/f.u.

abc: 6.1333 6.1333 6.1333
angles: 134.26 132.35 68.19
With the nearest neighbours (Å) after each atom.
Positions (direct):
K1 0.0000 0.0000 0.0000  8 In 3.45-3.56, 4 Te 3.50-3.53
In1 0.4734 0.4734 0.0000  2 Te 3.27, 4 In 3.43-3.60, 4 K 3.45
In2 0.7393 0.2393 0.5000  4 In 3.43-3.60, 4 Te 3.44, 4 K 3.47-3.56
Te1 0.2524 0.7524 0.5000  6 In 3.27-3.44, 4 K 3.50-3.53

Question: The lowest raw total energy belongs to which entry?
Answer: KIn2Te

Repeat the second record exactly.
Entry from Alexandria via LeMat-Bulk: a PBEsol-optimized structure of KIF2 (meta-GGA SCAN).

Calculated values
- Raw total energy: -14.99 eV per atom
- Offset from the most stable computed form: 0 meV per atom
- Formation energy from raw total energies: -1.96 eV/atom
- Total moment: 0.000 μB/f.u.

abc: 6.7207 6.7207 6.7207
angles: 37.68 37.68 37.68
With the nearest neighbours (Å) after each atom.
Positions (direct):
K1 0.0000 0.0000 0.0000  6 F 2.70
I1 0.5000 0.5000 0.5000  2 F 2.11
F1 0.3870 0.3870 0.3870  1 I 2.11
F2 0.6130 0.6130 0.6130  1 I 2.11